DFT (GGA-PBE) results for a relaxed structure of KTaTl2Re.

Results
Magnetization ... 0.001 μB/f.u.
Crystal system ... tetragonal
Energy of formation ... 1065.4 kJ/mol of formula units

a b c (Å): 5.311 5.365 5.311
angles (deg): 90.00 90.00 90.00
Sites, in units of the cell vectors:
Re1 0.000 0.000 0.000
Tl1 0.000 0.000 0.500
Tl2 0.500 0.000 0.000
K1 0.000 0.500 0.000
Ta1 0.500 0.500 0.500

DFT (GGA-PBE) results for a relaxed structure of AlCu2Mo.

Results
Magnetization ... 0.170 μB/f.u.
Crystal system ... orthorhombic
Energy of formation ... 28.5 kJ/mol of formula units

a b c (Å): 5.186 5.186 5.186
angles (deg): 149.58 128.32 61.16
Site moments in Bohr magnetons follow the coordinates.
Sites, in units of the cell vectors:
Mo1 0.499 0.499 0.000  0.13
Al1 0.235 0.735 0.500  0.00
Cu1 0.000 0.000 0.000  0.01
Cu2 0.765 0.265 0.500  0.01